[1]
Computed, not measured: a PBEsol-optimized structure of Al2SeN at the SCAN level of DFT.

Results
- Magnetic moment: 0.00 μB per atom
- Space group: Fm-3m
- ΔE_f (raw): 2.46 eV per formula unit

Cell lengths 4.238, 4.238, 4.238 Å; angles 60.00, 60.00, 60.00 degrees
Positions (direct):
Al 0.250 0.250 0.250
Al 0.750 0.750 0.750
Se 0.000 0.000 0.000
N 0.500 0.500 0.500

=====

[2]
Computed, not measured: a PBEsol-optimized structure of FeTcAg3 at the SCAN level of DFT.

Results
- Magnetic moment: 1.39 μB per atom
- ΔE_f: 7.23 eV/f.u.
- Space group: Pm-3m

Cell lengths 4.620, 4.620, 4.620 Å; angles 90.00, 90.00, 90.00 degrees
Positions (direct):
Fe 0.000 0.000 0.000
Tc 0.500 0.500 0.500
Ag 0.000 0.000 0.500
Ag 0.000 0.500 0.000
Ag 0.500 0.000 0.000

=====

[3]
Computed, not measured: a PBEsol-optimized structure of LaCo4Ru at the SCAN level of DFT.

Results
- Magnetic moment: 1.35 μB per atom
- ΔE_f: 1.58 eV/f.u.
- Space group: F-43m

Cell lengths 4.894, 4.894, 4.894 Å; angles 60.00, 60.00, 60.00 degrees
Positions (direct):
La 0.000 0.000 0.000
Co 0.376 0.376 0.376
Co 0.376 0.376 0.872
Co 0.376 0.872 0.376
Co 0.872 0.376 0.376
Ru 0.750 0.750 0.750

=====

[4]
Computed, not measured: a PBEsol-optimized structure of CaCdCo at the SCAN level of DFT.

Results
- Magnetic moment: 0.47 μB per atom
- ΔE_f: 0.28 eV/f.u.
- Space group: I4mm

Cell lengths 5.720, 5.720, 5.720 Å; angles 145.65, 145.65, 49.36 degrees
Positions (direct):
Ca 0.000 0.000 0.000
Cd 0.288 0.288 0.000
Co 0.679 0.679 0.000

=====

[5]
Computed, not measured: a PBEsol-optimized structure of Y3Ga9Pt2 at the SCAN level of DFT.

Results
- Magnetic moment: 0.00 μB per atom
- ΔE_f: -11.80 eV/f.u.
- Space group: Immm

Cell lengths 8.111, 8.111, 8.111 Å; angles 150.35, 104.75, 82.89 degrees
Positions (direct):
Y 0.000 0.000 0.000
Y 0.323 0.323 0.000
Y 0.677 0.677 0.000
Ga 0.043 0.668 0.375
Ga 0.150 0.870 0.280
Ga 0.293 0.668 0.625
Ga 0.410 0.130 0.280
Ga 0.500 0.000 0.500
Ga 0.590 0.870 0.720
Ga 0.707 0.332 0.375
Ga 0.850 0.130 0.720
Ga 0.957 0.332 0.625
Pt 0.274 0.500 0.774
Pt 0.726 0.500 0.226

=====

[6]
Computed, not measured: a PBEsol-optimized structure of ScRu3 at the SCAN level of DFT.

Results
- Magnetic moment: 0.00 μB per atom
- ΔE_f: 0.04 eV/f.u.
- Space group: P2/m

Cell lengths 2.703, 4.090, 5.378 Å; angles 90.00, 102.74, 90.00 degrees
Positions (direct):
Sc 0.000 0.000 0.000
Ru 0.000 0.000 0.500
Ru 0.417 0.500 0.261
Ru 0.583 0.500 0.739

=====

[7]
Computed, not measured: a PBEsol-optimized structure of LiCoSi at the SCAN level of DFT.

Results
- Magnetic moment: 0.12 μB per atom
- Space group: I4mm
- ΔE_f (raw): -0.53 eV per formula unit

Cell lengths 4.463, 4.463, 4.463 Å; angles 142.76, 142.76, 53.68 degrees
Positions (direct):
Li 0.000 0.000 0.000
Co 0.673 0.673 0.000
Si 0.318 0.318 0.000

=====

[8]
Computed, not measured: a PBEsol-optimized structure of Mn2CoIr at the SCAN level of DFT.

Results
- Magnetic moment: 0.66 μB per atom
- ΔE_f: -0.50 eV/f.u.
- Space group: P4/mmm

Cell lengths 3.558, 3.558, 3.580 Å; angles 90.00, 90.00, 90.00 degrees
Positions (direct):
Mn 0.000 0.500 0.000
Mn 0.500 0.000 0.000
Co 0.000 0.000 0.500
Ir 0.500 0.500 0.500

=====

Among the records above, which one has the highest magnetic moment?
FeTcAg3